PBEsol TaNi2Ir, optimized geometry; space group = No. 123; energy of formation = -0.17 eV/atom; N(E_F) = 2.123 states/eV/f.u.
1.0
3.148 0.000 0.000
0.000 3.148 0.000
0.000 0.000 5.296
Ta Ni Ir
1 2 1
Cartesian
0.000 0.000 0.000 Ta
1.574 1.574 1.273 Ni
1.574 1.574 4.023 Ni
0.000 0.000 2.648 Ir